# 1
VASP calculation (GGA-PBEsol) on a relaxed structure of Ru2PtRh.

Values from the calculation:
Its size of the total moment is 0.000 μB/f.u. For the formation enthalpy at 0 K, the calculation gives 5.4 kJ/mol of atoms. As for the symmetry: Pmmm, No. 47. The value obtained for the energy is -8.8058 eV per atom.

Cell and atoms, written as CIF:
```
data_Ru2PtRh
_space_group_name_H-M_alt 'P 1'
_space_group_IT_number 1
_cell_length_a 2.670
_cell_length_b 3.839
_cell_length_c 5.355
_cell_angle_alpha 90.00
_cell_angle_beta 90.00
_cell_angle_gamma 90.00
loop_
_space_group_symop_operation_xyz
'x,y,z'
loop_
_atom_site_label
_atom_site_type_symbol
_atom_site_fract_x
_atom_site_fract_y
_atom_site_fract_z
Ru1 Ru 0.000 0.000 0.243
Ru2 Ru 0.000 0.000 0.757
Pt1 Pt 0.500 0.500 0.500
Rh1 Rh 0.500 0.500 0.000
```

=====

# 2
VASP calculation (GGA-PBEsol) on a relaxed structure of PtRh2S2.

Values from the calculation:
The value obtained for the raw formation energy is -0.05 eV/atom. Its size of the total moment is 0.000 μB/f.u. As for the symmetry: I4/mmm, No. 139. The value obtained for the energy is -6.4545 eV per atom.

Cell and atoms, written as CIF:
```
data_PtRh2S2
_space_group_name_H-M_alt 'P 1'
_space_group_IT_number 1
_cell_length_a 4.814
_cell_length_b 4.814
_cell_length_c 4.814
_cell_angle_alpha 123.09
_cell_angle_beta 123.09
_cell_angle_gamma 84.72
loop_
_space_group_symop_operation_xyz
'x,y,z'
loop_
_atom_site_label
_atom_site_type_symbol
_atom_site_fract_x
_atom_site_fract_y
_atom_site_fract_z
Pt1 Pt 0.000 0.000 0.000
Rh1 Rh 0.250 0.750 0.500
Rh2 Rh 0.750 0.250 0.500
S1 S 0.321 0.321 0.000
S2 S 0.679 0.679 0.000
```

=====

# 3
VASP calculation (GGA-PBEsol) on a relaxed structure of SbPtRh.

Values from the calculation:
The value obtained for the raw formation energy is -0.23 eV/atom. Its size of the total moment is 0.000 μB/f.u. As for the symmetry: F-43m, No. 216. The value obtained for the energy is -6.7820 eV per atom.

Cell and atoms, written as CIF:
```
data_SbPtRh
_space_group_name_H-M_alt 'P 1'
_space_group_IT_number 1
_cell_length_a 4.268
_cell_length_b 4.268
_cell_length_c 4.268
_cell_angle_alpha 60.00
_cell_angle_beta 60.00
_cell_angle_gamma 60.00
loop_
_space_group_symop_operation_xyz
'x,y,z'
loop_
_atom_site_label
_atom_site_type_symbol
_atom_site_fract_x
_atom_site_fract_y
_atom_site_fract_z
Sb1 Sb 0.000 0.000 0.000
Pt1 Pt 0.250 0.250 0.250
Rh1 Rh 0.750 0.750 0.750
```